DFT (PBE+U) results for crystalline FeNi3F at its relaxed geometry.

Symmetry   No. 221
Mass density   5083 kg/m³
Electronic total energy   -1.31 eV per atom
Energy above the lowest structure with this stoichiometry   1.172 eV/atom

Cell: 4.344 4.344 4.344 Å, 90.00 90.00 90.00°
Sites, in units of the cell vectors:
Fe1 0.000 0.000 0.000
Ni1 0.000 0.000 0.500
Ni2 0.000 0.500 0.000
Ni3 0.500 0.000 0.000
F1 0.500 0.500 0.500